Compound: Th2Al9Rh3
Source: the Alexandria database
Functional: PBE
Structure: relaxed

The structure belongs to space group C2/c (No. 15); the cell edges are 13.3695, 7.6753 and 10.5377 Å and the angles 90.00°, 115.08° and 90.00°. Symmetry generates all atoms from Th at (0.1688, 0.0835, 0.2497), Al at (0.0000, 0.3736, 0.2500), Al at (0.0592, 0.0873, 0.9260), Al at (0.0982, 0.4167, 0.0484), Al at (0.1025, 0.3173, 0.7474), Al at (0.2228, 0.4190, 0.4279), Rh at (0.0858, 0.2416, 0.5004) and Rh at (0.2500, 0.2500, 0.0000).

The density comes out at 6.9 Mg/m³. The calculated total energy is -5.829 eV per atom. The formation energy is -76.0 kJ per mole of atoms.